# 1
VASP calculation (GGA+U) on crystalline KMnReO6 at its relaxed geometry.

## Properties
DOS at the Fermi energy: 0.00 states/eV/cell
Magnetic moment: 3.00 μB/f.u.
Total energy: -64.832 eV per cell
Theoretical density: 4.5 g cm⁻³
Crystal system: monoclinic

a = 5.143 Å, b = 5.143 Å, c = 6.003 Å
α = 90.05°, β = 90.10°, γ = 60.01°
Atoms (fractional coordinates):
Mn: 0.333 0.333 0.500
Re: 0.667 0.667 0.500
O: 0.393 0.611 0.321
O: 0.995 0.612 0.679
O: 0.394 0.995 0.679
O: 0.995 0.393 0.321
O: 0.611 0.995 0.321
O: 0.612 0.393 0.679
K: 0.000 0.000 0.000

# 2
VASP calculation (GGA+U) on crystalline K2MnReO6 at its relaxed geometry.

## Properties
Magnetic moment: 2.00 μB/f.u.
Total energy: -67.004 eV per cell
Theoretical density: 4.4 g cm⁻³
Crystal system: trigonal

a = 4.912 Å, b = 6.066 Å, c = 6.066 Å
α = 120.00°, β = 90.00°, γ = 90.00°
Atoms (fractional coordinates):
O: 0.242 0.288 0.144
O: 0.242 0.856 0.144
O: 0.758 0.144 0.288
O: 0.242 0.856 0.712
O: 0.758 0.144 0.856
O: 0.758 0.712 0.856
Re: 0.000 0.000 0.000
Mn: 0.500 0.000 0.000
K: 0.294 0.333 0.667
K: 0.706 0.667 0.333

# 3
VASP calculation (GGA+U) on crystalline KMnRe2O8 at its relaxed geometry.

## Properties
DOS at the Fermi energy: 5.84 states/eV/cell
Magnetic moment: 3.96 μB/f.u.
Total energy: -93.533 eV per cell
Theoretical density: 4.5 g cm⁻³
Crystal system: trigonal

a = 5.886 Å, b = 5.886 Å, c = 7.383 Å
α = 90.00°, β = 90.00°, γ = 120.00°
Atoms (fractional coordinates):
Mn: 0.000 0.000 0.500
Re: 0.667 0.333 0.245
Re: 0.333 0.667 0.755
O: 0.667 0.333 0.006
O: 0.665 0.831 0.678
O: 0.167 0.335 0.678
O: 0.169 0.833 0.678
O: 0.833 0.665 0.322
O: 0.335 0.169 0.322
O: 0.831 0.167 0.322
O: 0.333 0.667 0.994
K: 0.000 0.000 0.000

# 4
VASP calculation (GGA+U) on crystalline KMnRe2O at its relaxed geometry.

## Properties
DOS at the Fermi energy: 9.44 states/eV/cell
Magnetic moment: 0.00 μB/f.u.
Total energy: -25.712 eV per cell
Theoretical density: 6.8 g cm⁻³
Crystal system: tetragonal

a = 4.318 Å, b = 6.281 Å, c = 4.318 Å
α = 90.00°, β = 90.00°, γ = 90.00°
Atoms (fractional coordinates):
Mn: 0.000 0.000 0.000
Re: 0.000 0.000 0.500
Re: 0.500 0.000 0.000
K: 0.000 0.500 0.000
O: 0.500 0.500 0.500

# 5
VASP calculation (GGA+U) on crystalline K3Mn2RhO6 at its relaxed geometry.

## Properties
Magnetic moment: 4.00 μB/f.u.
Total energy: -69.343 eV per cell
Theoretical density: 4.7 g cm⁻³
Crystal system: monoclinic

a = 5.404 Å, b = 5.404 Å, c = 6.168 Å
α = 98.59°, β = 98.59°, γ = 119.09°
Atoms (fractional coordinates):
O: 0.052 0.397 0.172
O: 0.286 0.286 0.834
O: 0.603 0.948 0.828
O: 0.714 0.714 0.166
O: 0.948 0.603 0.828
O: 0.397 0.052 0.172
Rh: 0.000 0.000 0.000
K: 0.164 0.836 0.500
K: 0.500 0.500 0.500
K: 0.836 0.164 0.500
Mn: 0.333 0.667 0.000
Mn: 0.667 0.333 0.000

# 6
VASP calculation (GGA+U) on crystalline KMnRhO6 at its relaxed geometry.

## Properties
DOS at the Fermi energy: 4.25 states/eV/cell
Magnetic moment: 0.99 μB/f.u.
Total energy: -53.374 eV per cell
Theoretical density: 3.5 g cm⁻³
Crystal system: trigonal

a = 5.139 Å, b = 5.139 Å, c = 6.025 Å
α = 90.00°, β = 90.00°, γ = 60.00°
Atoms (fractional coordinates):
O: 0.390 0.996 0.678
O: 0.996 0.613 0.678
O: 0.613 0.997 0.322
O: 0.996 0.390 0.322
O: 0.613 0.390 0.678
O: 0.390 0.613 0.322
Mn: 0.667 0.667 0.500
Rh: 0.333 0.333 0.500
K: 0.000 0.000 0.000

# 7
VASP calculation (GGA+U) on crystalline K2Mn2RhO6 at its relaxed geometry.

## Properties
DOS at the Fermi energy: 2.93 states/eV/cell
Magnetic moment: 7.00 μB/f.u.
Total energy: -69.551 eV per cell
Theoretical density: 4.2 g cm⁻³
Crystal system: monoclinic

a = 5.277 Å, b = 5.277 Å, c = 6.471 Å
α = 98.80°, β = 98.80°, γ = 117.01°
Atoms (fractional coordinates):
O: 0.036 0.381 0.670
O: 0.619 0.964 0.330
O: 0.719 0.719 0.659
O: 0.381 0.036 0.670
O: 0.964 0.619 0.330
O: 0.281 0.281 0.341
K: 0.169 0.831 0.000
K: 0.831 0.169 0.000
Rh: 0.000 0.000 0.500
Mn: 0.666 0.334 0.500
Mn: 0.334 0.666 0.500

# 8
VASP calculation (GGA+U) on crystalline KMnRuO6 at its relaxed geometry.

## Properties
DOS at the Fermi energy: 2.64 states/eV/cell
Magnetic moment: 3.93 μB/f.u.
Total energy: -57.287 eV per cell
Theoretical density: 3.5 g cm⁻³
Crystal system: monoclinic

a = 5.141 Å, b = 5.142 Å, c = 5.990 Å
α = 90.07°, β = 90.03°, γ = 59.99°
Atoms (fractional coordinates):
O: 0.002 0.601 0.681
O: 0.397 0.002 0.681
O: 0.601 0.398 0.681
O: 0.002 0.397 0.319
O: 0.397 0.601 0.319
O: 0.601 0.001 0.319
Ru: 0.333 0.333 0.500
Mn: 0.667 0.667 0.500
K: 0.000 0.000 0.000

# 9
VASP calculation (GGA+U) on crystalline KMnS2O8 at its relaxed geometry.

## Properties
DOS at the Fermi energy: 4.01 states/eV/cell
Magnetic moment: 2.00 μB/f.u.
Total energy: -73.381 eV per cell
Theoretical density: 2.9 g cm⁻³
Crystal system: trigonal

a = 4.812 Å, b = 4.812 Å, c = 8.688 Å
α = 73.92°, β = 73.92°, γ = 60.00°
Atoms (fractional coordinates):
K: 0.500 0.500 0.500
Mn: 0.000 0.000 0.000
O: 0.250 0.011 0.143
O: 0.206 0.206 0.382
O: 0.405 0.750 0.857
O: 0.989 0.405 0.857
O: 0.595 0.250 0.143
O: 0.794 0.794 0.618
O: 0.011 0.595 0.143
O: 0.750 0.989 0.857
S: 0.735 0.735 0.796
S: 0.265 0.265 0.204

# 10
VASP calculation (GGA+U) on crystalline K2MnSO6 at its relaxed geometry.

## Properties
Magnetic moment: 2.99 μB/f.u.
Total energy: -56.727 eV per cell
Theoretical density: 2.9 g cm⁻³
Crystal system: trigonal

a = 4.861 Å, b = 5.932 Å, c = 5.932 Å
α = 120.00°, β = 90.00°, γ = 90.00°
Atoms (fractional coordinates):
O: 0.788 0.131 0.869
O: 0.212 0.869 0.131
O: 0.212 0.263 0.131
O: 0.788 0.737 0.869
O: 0.212 0.869 0.737
O: 0.788 0.131 0.263
Mn: 0.500 0.000 0.000
S: 0.000 0.000 0.000
K: 0.808 0.667 0.333
K: 0.192 0.333 0.667

# 11
VASP calculation (GGA+U) on crystalline K2MnSO4 at its relaxed geometry.

## Properties
DOS at the Fermi energy: 3.41 states/eV/cell
Magnetic moment: 3.20 μB/f.u.
Total energy: -42.417 eV per cell
Theoretical density: 3.1 g cm⁻³
Crystal system: tetragonal

a = 5.475 Å, b = 5.475 Å, c = 5.475 Å
α = 101.99°, β = 113.34°, γ = 113.34°
Atoms (fractional coordinates):
K: 0.000 0.000 0.000
K: 0.500 0.750 0.250
O: 0.872 0.556 0.171
O: 0.385 0.829 0.701
O: 0.128 0.299 0.684
O: 0.615 0.316 0.444
S: 0.000 0.500 0.500
Mn: 0.500 0.250 0.750

# 12
VASP calculation (GGA+U) on crystalline K3MnSb2O9 at its relaxed geometry.

## Properties
DOS at the Fermi energy: 8.29 states/eV/cell
Magnetic moment: 3.29 μB/f.u.
Total energy: -83.649 eV per cell
Theoretical density: 4.9 g cm⁻³
Crystal system: trigonal

a = 5.643 Å, b = 5.643 Å, c = 6.901 Å
α = 90.00°, β = 90.00°, γ = 120.00°
Atoms (fractional coordinates):
Sb: 0.333 0.667 0.173
Sb: 0.667 0.333 0.827
O: 0.164 0.328 0.335
O: 0.000 0.500 0.000
O: 0.836 0.164 0.665
O: 0.500 0.500 0.000
O: 0.328 0.164 0.665
O: 0.164 0.836 0.335
O: 0.500 0.000 0.000
O: 0.836 0.672 0.665
O: 0.672 0.836 0.335
K: 0.667 0.333 0.337
K: 0.000 0.000 0.000
K: 0.333 0.667 0.663
Mn: 0.000 0.000 0.500

# 13
VASP calculation (GGA+U) on crystalline K2MnSbO4 at its relaxed geometry.

## Properties
DOS at the Fermi energy: 1.85 states/eV/cell
Magnetic moment: 4.89 μB/f.u.
Total energy: -89.635 eV per cell
Theoretical density: 4.4 g cm⁻³
Crystal system: orthorhombic

a = 6.963 Å, b = 6.963 Å, c = 6.985 Å
α = 120.09°, β = 120.09°, γ = 89.82°
Atoms (fractional coordinates):
O: 0.819 0.256 0.037
O: 0.244 0.681 0.463
O: 0.762 0.738 0.549
O: 0.756 0.319 0.537
O: 0.762 0.738 0.951
O: 0.238 0.262 0.451
O: 0.181 0.744 0.963
O: 0.238 0.262 0.049
Sb: 0.000 0.000 0.000
Sb: 0.500 0.500 0.500
Mn: 0.000 0.500 0.500
Mn: 0.000 0.500 0.000
K: 0.500 0.000 0.500
K: 0.500 0.000 0.000
K: 0.500 0.500 0.000
K: 0.000 0.000 0.500

# 14
VASP calculation (GGA+U) on crystalline K2Mn2SbO6 at its relaxed geometry.

## Properties
DOS at the Fermi energy: 2.74 states/eV/cell
Magnetic moment: 9.00 μB/f.u.
Total energy: -68.866 eV per cell
Theoretical density: 4.1 g cm⁻³
Crystal system: monoclinic

a = 5.442 Å, b = 5.442 Å, c = 6.669 Å
α = 100.01°, β = 100.01°, γ = 117.04°
Atoms (fractional coordinates):
O: 0.745 0.745 0.658
O: 0.255 0.255 0.342
O: 0.043 0.367 0.677
O: 0.367 0.043 0.677
O: 0.633 0.957 0.323
O: 0.957 0.633 0.323
Sb: 0.000 0.000 0.500
Mn: 0.667 0.333 0.500
Mn: 0.333 0.667 0.500
K: 0.825 0.175 0.000
K: 0.175 0.825 0.000

# 15
VASP calculation (GGA+U) on crystalline KSc2MnO4 at its relaxed geometry.

## Properties
DOS at the Fermi energy: 4.09 states/eV/cell
Magnetic moment: 4.41 μB/f.u.
Total energy: -119.944 eV per cell
Theoretical density: 3.8 g cm⁻³
Crystal system: orthorhombic

a = 3.279 Å, b = 5.874 Å, c = 11.730 Å
α = 90.00°, β = 90.00°, γ = 106.21°
Atoms (fractional coordinates):
Sc: 0.371 0.741 0.957
Sc: 0.371 0.741 0.543
Sc: 0.629 0.259 0.457
Sc: 0.629 0.259 0.043
K: 0.906 0.812 0.250
K: 0.094 0.188 0.750
Mn: 0.818 0.637 0.750
Mn: 0.182 0.363 0.250
O: 0.421 0.842 0.750
O: 0.741 0.481 0.597
O: 0.259 0.519 0.403
O: 0.000 0.000 0.500
O: 0.259 0.519 0.097
O: 0.579 0.158 0.250
O: 0.000 0.000 0.000
O: 0.741 0.481 0.903

# 16
VASP calculation (GGA+U) on crystalline KScMnO3 at its relaxed geometry.

## Properties
Magnetic moment: 5.00 μB/f.u.
Total energy: -86.397 eV per cell
Theoretical density: 3.1 g cm⁻³
Crystal system: orthorhombic

a = 3.333 Å, b = 7.192 Å, c = 8.717 Å
α = 90.00°, β = 90.00°, γ = 103.40°
Atoms (fractional coordinates):
O: 0.012 0.023 0.750
O: 0.402 0.804 0.975
O: 0.988 0.977 0.250
O: 0.598 0.196 0.475
O: 0.402 0.804 0.525
O: 0.598 0.196 0.025
Mn: 0.587 0.175 0.250
Mn: 0.413 0.825 0.750
Sc: 0.000 0.000 0.000
Sc: 0.000 0.000 0.500
K: 0.673 0.346 0.750
K: 0.327 0.654 0.250

# 17
VASP calculation (GGA+U) on crystalline KMnSeO6 at its relaxed geometry.

## Properties
DOS at the Fermi energy: 3.26 states/eV/cell
Magnetic moment: 2.00 μB/f.u.
Total energy: -50.584 eV per cell
Theoretical density: 3.4 g cm⁻³
Crystal system: trigonal

a = 4.954 Å, b = 4.954 Å, c = 6.130 Å
α = 90.00°, β = 90.00°, γ = 60.00°
Atoms (fractional coordinates):
O: 0.014 0.375 0.328
O: 0.014 0.611 0.672
O: 0.611 0.375 0.672
O: 0.611 0.014 0.328
O: 0.374 0.014 0.672
O: 0.374 0.611 0.328
Se: 0.333 0.333 0.500
Mn: 0.667 0.667 0.500
K: 0.000 0.000 0.000

# 18
VASP calculation (GGA+U) on crystalline KMnSe2O8 at its relaxed geometry.

## Properties
Magnetic moment: 4.00 μB/f.u.
Relative energy among the computed polymorphs: 0.00 eV per formula unit
Theoretical density: 3.3 g cm⁻³
Crystal system: triclinic

a = 4.953 Å, b = 5.140 Å, c = 8.185 Å
α = 83.96°, β = 86.25°, γ = 67.31°
Atoms (fractional coordinates):
Se: 0.621 0.634 0.202
Se: 0.379 0.366 0.798
Mn: 0.000 0.000 0.000
K: 0.000 0.000 0.500
O: 0.752 0.215 0.814
O: 0.248 0.785 0.186
O: 0.765 0.767 0.037
O: 0.273 0.712 0.813
O: 0.235 0.233 0.963
O: 0.691 0.699 0.384
O: 0.309 0.301 0.616
O: 0.727 0.288 0.187

# 19
VASP calculation (GGA+U) on crystalline KMnSe2O6 at its relaxed geometry.

## Properties
DOS at the Fermi energy: 1.19 states/eV/cell
Magnetic moment: 4.00 μB/f.u.
Total energy: -56.554 eV per cell
Theoretical density: 3.6 g cm⁻³
Crystal system: trigonal

a = 5.500 Å, b = 5.500 Å, c = 6.859 Å
α = 66.36°, β = 66.36°, γ = 60.00°
Atoms (fractional coordinates):
K: 0.000 0.000 0.000
O: 0.510 0.700 0.702
O: 0.490 0.300 0.298
O: 0.300 0.912 0.298
O: 0.912 0.490 0.298
O: 0.088 0.510 0.702
O: 0.700 0.088 0.702
Mn: 0.500 0.500 0.500
Se: 0.734 0.734 0.798
Se: 0.266 0.266 0.202

# 20
VASP calculation (GGA+U) on crystalline K2MnSe2O6 at its relaxed geometry.

## Properties
DOS at the Fermi energy: 0.00 states/eV/cell
Magnetic moment: 5.00 μB/f.u.
Relative energy among the computed polymorphs: 0.00 eV per formula unit
Theoretical density: 3.6 g cm⁻³
Crystal system: trigonal

a = 5.708 Å, b = 5.708 Å, c = 7.155 Å
α = 66.49°, β = 66.49°, γ = 60.00°
Atoms (fractional coordinates):
K: 0.196 0.196 0.413
K: 0.804 0.804 0.587
Mn: 0.000 0.000 0.000
O: 0.750 0.272 0.228
O: 0.272 0.750 0.228
O: 0.750 0.750 0.228
O: 0.250 0.728 0.772
O: 0.250 0.250 0.772
O: 0.728 0.250 0.772
Se: 0.372 0.372 0.885
Se: 0.628 0.628 0.115